[1]
The following is a DFT calculation (PBE) of a geometry-optimized Li3La3USe8 structure.

Lattice parameters (Å, degrees): 8.6111 8.6100 8.1265 122.01 90.00 120.00
With the nearest neighbours (Å) after each atom.
Fractional coordinates of all 15 atoms:
La 0.0000 0.5000 0.5000  6 Se 2.99-3.02
La 0.5000 0.5000 0.5000  6 Se 2.99-3.02
La 0.5000 0.0000 0.5000  6 Se 2.99-3.02
Se 0.2466 0.4933 0.2401  3 Li 2.92-2.93, 3 La 2.99
Se 0.7534 0.5067 0.7599  3 Li 2.92-2.93, 3 La 2.99
Se 0.2406 0.4811 0.7493  1 U 2.84, 2 Li 2.91, 2 La 3.02
Se 0.7594 0.5189 0.2507  1 U 2.84, 2 Li 2.91, 2 La 3.02
Se 0.2316 0.9911 0.2507  1 U 2.84, 2 Li 2.91, 2 La 3.02
Se 0.7594 0.9911 0.2507  1 U 2.84, 2 Li 2.91, 2 La 3.02
Se 0.2406 0.0089 0.7493  1 U 2.84, 2 Li 2.91, 2 La 3.02
Se 0.7684 0.0089 0.7493  1 U 2.84, 2 Li 2.91, 2 La 3.02
U 0.0000 0.0000 0.5000  6 Se 2.84
Li 0.5000 0.5000 0.0000  6 Se 2.91-2.93
Li 0.0000 0.0000 0.0000  6 Se 2.91-2.92
Li 0.0000 0.5000 0.0000  6 Se 2.91-2.93

Output
Fermi-level density of states in states/eV/cell: 5.86
E_tot in eV/atom: -5.581
Space group: R-3m



[2]
The following is a DFT calculation (PBE) of a geometry-optimized LiLaUSe3 structure.

Lattice parameters (Å, degrees): 4.0237 8.6452 8.9756 105.63 90.00 90.00
With the nearest neighbours (Å) after each atom.
Fractional coordinates of all 12 atoms:
Se 0.7500 0.2173 0.5100  3 Li 2.50-2.55
Se 0.7500 0.8975 0.1281  1 Li 2.50
Se 0.2500 0.7827 0.4900  3 Li 2.50-2.55
Se 0.2500 0.1025 0.8719  1 Li 2.50
Se 0.2500 0.5700 0.8053  3 U 2.89-2.93, 2 La 3.02
Se 0.7500 0.4300 0.1947  3 U 2.89-2.93, 2 La 3.02
La 0.7500 0.8176 0.7695  7 Se 3.02-3.17
La 0.2500 0.1824 0.2305  7 Se 3.02-3.17
Li 0.7500 0.9116 0.4099  4 Se 2.50-2.55, 2 Li 2.77
Li 0.2500 0.0884 0.5901  4 Se 2.50-2.55, 2 Li 2.77
U 0.2500 0.6512 0.1442  6 Se 2.89-3.00
U 0.7500 0.3488 0.8558  6 Se 2.89-3.00

Output
Fermi-level density of states in states/eV/cell: 12.77
E_tot in eV/atom: -6.176
Space group: P2_1/m